(A)
An optimized crystal structure of Dy4Y7Tm. Source: the Alexandria database, functional PBE.

SG = C2/m (12)

a = 6.7052 Å, b = 6.7052 Å, c = 12.7408 Å
α = 115.06°, β = 115.06°, γ = 51.86°
Atoms (fractional coordinates):
Dy: 0.1429 0.1429 0.2755
Dy: 0.2694 0.2694 0.8267
Dy: 0.7306 0.7306 0.1733
Dy: 0.8571 0.8571 0.7245
Y: 0.0000 0.0000 0.5000
Y: 0.1327 0.1327 0.9969
Y: 0.2887 0.2887 0.5758
Y: 0.4339 0.4339 0.1881
Y: 0.5661 0.5661 0.8119
Y: 0.7113 0.7113 0.4242
Y: 0.8673 0.8673 0.0031
Tm: 0.5000 0.5000 0.5000


(B)
An optimized crystal structure of Dy4Y7Tm. Source: the Alexandria database, functional PBE.

SG = C2/m (12)

a = 10.0000 Å, b = 10.0000 Å, c = 5.9958 Å
α = 90.72°, β = 90.72°, γ = 40.43°
Atoms (fractional coordinates):
Dy: 0.0926 0.6354 0.7557
Dy: 0.3646 0.9074 0.2443
Dy: 0.6354 0.0926 0.7557
Dy: 0.9074 0.3646 0.2443
Y: 0.0398 0.0398 0.7514
Y: 0.2148 0.2148 0.7439
Y: 0.3132 0.3132 0.2483
Y: 0.5000 0.5000 0.5000
Y: 0.6868 0.6868 0.7517
Y: 0.7852 0.7852 0.2561
Y: 0.9602 0.9602 0.2486
Tm: 0.5000 0.5000 0.0000


Least stable: (A)


(A)
An optimized crystal structure of Dy5Y2Tm3. Source: the Alexandria database, functional PBE.

SG = Ibam (72)

a = 12.2822 Å, b = 12.2822 Å, c = 12.2822 Å
α = 135.44°, β = 55.67°, γ = 148.36°
Atoms (fractional coordinates):
Dy: 0.0010 0.2500 0.7510
Dy: 0.1240 0.0910 0.2151
Dy: 0.2500 0.2500 0.0000
Dy: 0.3760 0.5910 0.9670
Dy: 0.4990 0.2500 0.2490
Dy: 0.5010 0.7500 0.7510
Dy: 0.6240 0.4090 0.0330
Dy: 0.7500 0.7500 0.0000
Dy: 0.8760 0.9090 0.7849
Dy: 0.9990 0.7500 0.2490
Y: 0.1253 0.4055 0.5308
Y: 0.3747 0.9055 0.2802
Y: 0.6253 0.0945 0.7198
Y: 0.8747 0.5945 0.4692
Tm: 0.1229 0.7491 0.8719
Tm: 0.2500 0.7500 0.5000
Tm: 0.3771 0.2491 0.6262
Tm: 0.6229 0.7509 0.3738
Tm: 0.7500 0.2500 0.5000
Tm: 0.8771 0.2509 0.1281


(B)
An optimized crystal structure of Dy5Y2Tm3. Source: the Alexandria database, functional PBE.

SG = C2/c (15)

a = 9.4043 Å, b = 9.4043 Å, c = 9.4853 Å
α = 108.42°, β = 108.42°, γ = 111.17°
Atoms (fractional coordinates):
Dy: 0.0298 0.9702 0.7500
Dy: 0.1249 0.3505 0.7283
Dy: 0.2286 0.7714 0.7500
Dy: 0.2671 0.7329 0.2500
Dy: 0.3505 0.1249 0.2283
Dy: 0.6495 0.8751 0.7717
Dy: 0.7329 0.2671 0.7500
Dy: 0.7714 0.2286 0.2500
Dy: 0.8751 0.6495 0.2717
Dy: 0.9702 0.0298 0.2500
Y: 0.2355 0.4793 0.4540
Y: 0.4793 0.2355 0.9540
Y: 0.5207 0.7645 0.0460
Y: 0.7645 0.5207 0.5460
Tm: 0.0360 0.2742 0.0490
Tm: 0.2742 0.0360 0.5490
Tm: 0.4719 0.5281 0.2500
Tm: 0.5281 0.4719 0.7500
Tm: 0.7258 0.9640 0.4510
Tm: 0.9640 0.7258 0.9510


Least stable: (A)


(A)
An optimized crystal structure of Dy4YTm5. Source: the Alexandria database, functional PBE.

SG = Cm (8)

a = 8.6875 Å, b = 8.6875 Å, c = 6.9766 Å
α = 90.01°, β = 90.01°, γ = 36.11°
Atoms (fractional coordinates):
Dy: 0.0000 0.0000 0.0000
Dy: 0.3991 0.3991 0.5022
Dy: 0.5890 0.5890 0.2508
Dy: 0.8092 0.8092 0.2501
Y: 0.1990 0.1990 0.5032
Tm: 0.1992 0.1992 0.0004
Tm: 0.3981 0.3981 0.9999
Tm: 0.5889 0.5889 0.7516
Tm: 0.8093 0.8093 0.7525
Tm: 0.9994 0.9994 0.5024


(B)
An optimized crystal structure of Dy4YTm5. Source: the Alexandria database, functional PBE.

SG = I4 (79)

a = 7.8144 Å, b = 7.8144 Å, c = 7.8144 Å
α = 99.13°, β = 99.13°, γ = 133.05°
Atoms (fractional coordinates):
Dy: 0.0496 0.6517 0.7013
Dy: 0.3483 0.0496 0.3979
Dy: 0.6517 0.9504 0.6021
Dy: 0.9504 0.3483 0.2987
Y: 0.2285 0.2285 0.0000
Tm: 0.2691 0.3576 0.6221
Tm: 0.3576 0.7355 0.0885
Tm: 0.6470 0.2691 0.9115
Tm: 0.7355 0.6470 0.3779
Tm: 0.7671 0.7671 0.0000


Least stable: (B)


(A)
An optimized crystal structure of Dy2YTm2. Source: the Alexandria database, functional PBE.

SG = P4/mbm (127)

a = 9.2176 Å, b = 9.2176 Å, c = 3.6920 Å
α = 90.00°, β = 90.00°, γ = 90.00°
Atoms (fractional coordinates):
Dy: 0.1277 0.3723 0.0000
Dy: 0.3723 0.8723 0.0000
Dy: 0.6277 0.1277 0.0000
Dy: 0.8723 0.6277 0.0000
Y: 0.0000 0.0000 0.0000
Y: 0.5000 0.5000 0.0000
Tm: 0.1701 0.6701 0.5000
Tm: 0.3299 0.1701 0.5000
Tm: 0.6701 0.8299 0.5000
Tm: 0.8299 0.3299 0.5000


(B)
An optimized crystal structure of Dy2YTm2. Source: the Alexandria database, functional PBE.

SG = I4/mmm (139)

a = 6.3209 Å, b = 6.3209 Å, c = 6.3209 Å
α = 124.42°, β = 124.42°, γ = 82.51°
Atoms (fractional coordinates):
Dy: 0.2500 0.7500 0.5000
Dy: 0.7500 0.2500 0.5000
Y: 0.0000 0.0000 0.0000
Tm: 0.3510 0.3510 0.0000
Tm: 0.6490 0.6490 0.0000


Least stable: (B)


(A)
An optimized crystal structure of Dy7Y2Tm. Source: the Alexandria database, functional PBE.

SG = Cmmm (65)

a = 9.8530 Å, b = 9.8530 Å, c = 5.0431 Å
α = 90.00°, β = 90.00°, γ = 128.57°
Atoms (fractional coordinates):
Dy: 0.0000 0.0000 0.0000
Dy: 0.2154 0.4227 0.0000
Dy: 0.3095 0.6905 0.5000
Dy: 0.4227 0.2154 0.0000
Dy: 0.5773 0.7846 0.0000
Dy: 0.6905 0.3095 0.5000
Dy: 0.7846 0.5773 0.0000
Y: 0.2033 0.7967 0.0000
Y: 0.7967 0.2033 0.0000
Tm: 0.5000 0.5000 0.5000


(B)
An optimized crystal structure of Dy7Y2Tm. Source: the Alexandria database, functional PBE.

SG = P-1 (2)

a = 6.1289 Å, b = 6.1379 Å, c = 9.3697 Å
α = 102.59°, β = 108.97°, γ = 99.68°
Atoms (fractional coordinates):
Dy: 0.0000 0.0000 0.0000
Dy: 0.1995 0.0000 0.4002
Dy: 0.1989 0.4986 0.8998
Dy: 0.3995 0.5005 0.3010
Dy: 0.6005 0.4995 0.6990
Dy: 0.8005 0.0000 0.5998
Dy: 0.8011 0.5014 0.1002
Y: 0.4000 0.9992 0.7990
Y: 0.6000 0.0008 0.2010
Tm: 0.0000 0.5000 0.5000


Least stable: (A)


(A)
An optimized crystal structure of Dy5Y5Tm2. Source: the Alexandria database, functional PBE.

SG = C2/m (12)

a = 7.9239 Å, b = 7.9239 Å, c = 11.2123 Å
α = 115.08°, β = 115.08°, γ = 36.88°
Atoms (fractional coordinates):
Dy: 0.0000 0.0000 0.0000
Dy: 0.0820 0.0820 0.7497
Dy: 0.1669 0.1669 0.4999
Dy: 0.8331 0.8331 0.5001
Dy: 0.9180 0.9180 0.2503
Y: 0.2491 0.2491 0.2501
Y: 0.3343 0.3343 0.0004
Y: 0.5000 0.5000 0.5000
Y: 0.6657 0.6657 0.9996
Y: 0.7509 0.7509 0.7499
Tm: 0.4166 0.4166 0.7489
Tm: 0.5834 0.5834 0.2511


(B)
An optimized crystal structure of Dy5Y5Tm2. Source: the Alexandria database, functional PBE.

SG = C2/m (12)

a = 6.5941 Å, b = 6.5941 Å, c = 11.9324 Å
α = 106.36°, β = 106.36°, γ = 50.19°
Atoms (fractional coordinates):
Dy: 0.0000 0.0000 0.0000
Dy: 0.0401 0.0401 0.7112
Dy: 0.2062 0.2062 0.5440
Dy: 0.7938 0.7938 0.4560
Dy: 0.9599 0.9599 0.2888
Y: 0.2491 0.2491 0.2503
Y: 0.2952 0.2952 0.9553
Y: 0.5000 0.5000 0.5000
Y: 0.7048 0.7048 0.0447
Y: 0.7509 0.7509 0.7497
Tm: 0.4623 0.4623 0.7887
Tm: 0.5377 0.5377 0.2113


Least stable: (B)


(A)
An optimized crystal structure of Dy4Y2Tm5. Source: the Alexandria database, functional PBE.

SG = C2/m (12)

a = 10.8496 Å, b = 10.8496 Å, c = 9.0939 Å
α = 102.39°, β = 102.39°, γ = 19.27°
Atoms (fractional coordinates):
Dy: 0.0272 0.0272 0.2035
Dy: 0.3281 0.3281 0.5844
Dy: 0.6719 0.6719 0.4156
Dy: 0.9728 0.9728 0.7965
Y: 0.3852 0.3852 0.9958
Y: 0.6148 0.6148 0.0042
Tm: 0.1181 0.1181 0.6913
Tm: 0.2505 0.2505 0.1705
Tm: 0.5000 0.5000 0.5000
Tm: 0.7495 0.7495 0.8295
Tm: 0.8819 0.8819 0.3087


(B)
An optimized crystal structure of Dy4Y2Tm5. Source: the Alexandria database, functional PBE.

SG = C2/m (12)

a = 8.8119 Å, b = 8.8119 Å, c = 6.5970 Å
α = 99.36°, β = 99.36°, γ = 43.89°
Atoms (fractional coordinates):
Dy: 0.0879 0.0879 0.4022
Dy: 0.2550 0.2550 0.1864
Dy: 0.7450 0.7450 0.8136
Dy: 0.9121 0.9121 0.5978
Y: 0.3002 0.3002 0.6987
Y: 0.6998 0.6998 0.3013
Tm: 0.1520 0.6730 0.0982
Tm: 0.3270 0.8480 0.9018
Tm: 0.5000 0.5000 0.5000
Tm: 0.6730 0.1520 0.0982
Tm: 0.8480 0.3270 0.9018


Least stable: (B)


(A)
An optimized crystal structure of DyYTm4. Source: the Alexandria database, functional PBE.

SG = F-43m (216)

a = 6.4980 Å, b = 6.4980 Å, c = 6.4980 Å
α = 60.00°, β = 60.00°, γ = 60.00°
Atoms (fractional coordinates):
Dy: 0.0000 0.0000 0.0000
Y: 0.2500 0.2500 0.2500
Tm: 0.1252 0.6249 0.6249
Tm: 0.6249 0.1252 0.6249
Tm: 0.6249 0.6249 0.1252
Tm: 0.6249 0.6249 0.6249


(B)
An optimized crystal structure of DyYTm4. Source: the Alexandria database, functional PBE.

SG = C2/c (15)

a = 8.4405 Å, b = 8.4405 Å, c = 6.3975 Å
α = 100.08°, β = 100.08°, γ = 118.09°
Atoms (fractional coordinates):
Dy: 0.0017 0.9983 0.7500
Dy: 0.9983 0.0017 0.2500
Y: 0.4140 0.5860 0.2500
Y: 0.5860 0.4140 0.7500
Tm: 0.1012 0.7109 0.9677
Tm: 0.1646 0.4276 0.6222
Tm: 0.2891 0.8988 0.5323
Tm: 0.4276 0.1646 0.1222
Tm: 0.5724 0.8354 0.8778
Tm: 0.7109 0.1012 0.4677
Tm: 0.8354 0.5724 0.3778
Tm: 0.8988 0.2891 0.0323


(C)
An optimized crystal structure of DyYTm4. Source: the Alexandria database, functional PBE.

SG = P-1 (2)

a = 3.4702 Å, b = 5.5361 Å, c = 9.5998 Å
α = 90.13°, β = 90.01°, γ = 90.09°
Atoms (fractional coordinates):
Dy: 0.0000 0.0000 0.0000
Y: 0.0000 0.5000 0.5000
Tm: 0.4987 0.0001 0.3330
Tm: 0.4995 0.5002 0.8334
Tm: 0.5013 0.9999 0.6670
Tm: 0.5005 0.4998 0.1666


Least stable: (A)


(A)
An optimized crystal structure of DyY2Tm2. Source: the Alexandria database, functional PBE.

SG = P2_1/c (14)

a = 14.5587 Å, b = 7.0658 Å, c = 6.1141 Å
α = 90.00°, β = 98.02°, γ = 90.00°
Atoms (fractional coordinates):
Dy: 0.1988 0.1254 0.1487
Dy: 0.1988 0.3746 0.6487
Dy: 0.8012 0.6254 0.3513
Dy: 0.8012 0.8746 0.8513
Y: 0.1992 0.6249 0.1500
Y: 0.1992 0.8751 0.6500
Y: 0.4001 0.1249 0.5504
Y: 0.4001 0.3751 0.0504
Y: 0.5999 0.6249 0.9496
Y: 0.5999 0.8751 0.4496
Y: 0.8008 0.1249 0.3500
Y: 0.8008 0.3751 0.8500
Tm: 0.0002 0.1249 0.7510
Tm: 0.0002 0.3751 0.2510
Tm: 0.9998 0.6249 0.7490
Tm: 0.9998 0.8751 0.2490
Tm: 0.4001 0.6251 0.5502
Tm: 0.4001 0.8749 0.0502
Tm: 0.5999 0.1251 0.9498
Tm: 0.5999 0.3749 0.4498


(B)
An optimized crystal structure of DyY2Tm2. Source: the Alexandria database, functional PBE.

SG = P4/mbm (127)

a = 9.2742 Å, b = 9.2742 Å, c = 3.6891 Å
α = 90.00°, β = 90.00°, γ = 90.00°
Atoms (fractional coordinates):
Dy: 0.0000 0.0000 0.0000
Dy: 0.5000 0.5000 0.0000
Y: 0.1727 0.3273 0.5000
Y: 0.3273 0.8273 0.5000
Y: 0.6727 0.1727 0.5000
Y: 0.8273 0.6727 0.5000
Tm: 0.1253 0.6253 0.0000
Tm: 0.3747 0.1253 0.0000
Tm: 0.6253 0.8747 0.0000
Tm: 0.8747 0.3747 0.0000


Least stable: (B)


(A)
An optimized crystal structure of Dy5Y2Tm4. Source: the Alexandria database, functional PBE.

SG = C2/m (12)

a = 6.5708 Å, b = 6.5708 Å, c = 9.1348 Å
α = 103.83°, β = 103.83°, γ = 67.27°
Atoms (fractional coordinates):
Dy: 0.0000 0.0000 0.0000
Dy: 0.2097 0.6501 0.7240
Dy: 0.3499 0.7903 0.2760
Dy: 0.6501 0.2097 0.7240
Dy: 0.7903 0.3499 0.2760
Y: 0.1455 0.1455 0.6226
Y: 0.8545 0.8545 0.3774
Tm: 0.3186 0.3186 0.0039
Tm: 0.3344 0.3344 0.3810
Tm: 0.6656 0.6656 0.6190
Tm: 0.6814 0.6814 0.9961


(B)
An optimized crystal structure of Dy5Y2Tm4. Source: the Alexandria database, functional PBE.

SG = Immm (71)

a = 12.5366 Å, b = 12.5366 Å, c = 12.5366 Å
α = 164.07°, β = 138.44°, γ = 44.78°
Atoms (fractional coordinates):
Dy: 0.0000 0.0000 0.0000
Dy: 0.0544 0.3579 0.6965
Dy: 0.3386 0.6421 0.6965
Dy: 0.6614 0.3579 0.3035
Dy: 0.9456 0.6421 0.3035
Y: 0.2684 0.7684 0.5000
Y: 0.7316 0.2316 0.5000
Tm: 0.3132 0.5000 0.8132
Tm: 0.4030 0.9030 0.5000
Tm: 0.5970 0.0970 0.5000
Tm: 0.6868 0.5000 0.1868


Least stable: (B)